[1]
Computed, not measured: crystalline YFeRe2 at its relaxed geometry at the PBE level of DFT.

abc: 3.1257 3.1257 7.0668
angles: 90.00 90.00 90.00
Fractional positions:
Y: 0.0000 0.0000 0.5054
Re: 0.0000 0.0000 0.9976
Re: 0.5000 0.5000 0.1997
Fe: 0.5000 0.5000 0.7973

Results
**Magnetic moment**: 2.598 μB per cell
**Polymorph energy (0 for the lowest one)**: 0 meV/atom
**Space-group type**: P4mm, No. 99
**Total energy**: -9.778 eV/atom

=====

[2]
Computed, not measured: crystalline CsCaTmBr6 at its relaxed geometry at the PBE level of DFT.

abc: 7.4488 7.4486 8.0557
angles: 90.00 90.00 60.00
Fractional positions:
Br: 0.0136 0.3701 0.2977
Br: 0.3701 0.0136 0.7023
Br: 0.6163 0.3701 0.7023
Br: 0.6163 0.0136 0.2977
Br: 0.0136 0.6163 0.7023
Br: 0.3701 0.6163 0.2977
Tm: 0.3333 0.3333 0.5000
Cs: 0.0000 0.0000 0.0000
Ca: 0.6666 0.6667 0.5000

Results
**Magnetic moment**: 0.000 μB per cell
**Space-group type**: P312, No. 149
**Total energy**: -3.878 eV/atom
**Energy relative to the elements, uncorrected**: -1948 meV per atom

=====

[3]
Computed, not measured: crystalline OsPb2 at its relaxed geometry at the PBE level of DFT.

abc: 5.0130 5.0130 6.3341
angles: 90.00 90.00 120.00
Fractional positions:
Pb: 0.6667 0.3333 0.2500
Pb: 0.0000 0.0000 0.5000
Pb: 0.0000 0.0000 0.0000
Pb: 0.3333 0.6667 0.7500
Os: 0.3333 0.6667 0.2500
Os: 0.6667 0.3333 0.7500

Results
**Magnetic moment**: 0.000 μB per cell
**Space-group type**: P6_3/mmc, No. 194
**Total energy**: -5.171 eV/atom

=====

[4]
Computed, not measured: crystalline BaHfBi2O at its relaxed geometry at the PBE level of DFT.

abc: 6.2177 3.9375 6.2177
angles: 90.00 90.00 90.00
Fractional positions:
Hf: 0.0000 0.0000 0.0000
Bi: 0.0000 0.0000 0.5000
Bi: 0.5000 0.0000 0.0000
Ba: 0.5000 0.5000 0.5000
O: 0.0000 0.5000 0.0000

Results
**Magnetic moment**: 0.000 μB per cell
**Space-group type**: P4/mmm, No. 123
**Total energy**: -6.090 eV/atom
**Energy relative to the elements, uncorrected**: -1171 meV per atom

=====

[5]
Computed, not measured: crystalline Ac2Sn4Hg3 at its relaxed geometry at the PBE level of DFT.

abc: 6.6911 9.0690 9.1773
angles: 90.00 111.38 90.00
Fractional positions:
Sn: 0.8169 0.0474 0.6338
Sn: 0.7962 0.2500 0.0924
Sn: 0.7038 0.7500 0.9076
Sn: 0.6831 0.5474 0.3662
Sn: 0.2038 0.7500 0.9076
Sn: 0.1831 0.9526 0.3662
Sn: 0.2962 0.2500 0.0924
Sn: 0.3169 0.4526 0.6338
Ac: 0.3811 0.0753 0.7621
Ac: 0.1189 0.5753 0.2379
Ac: 0.6189 0.9247 0.2379
Ac: 0.8811 0.4247 0.7621
Hg: 0.0333 0.7500 0.5665
Hg: 0.9667 0.2500 0.4335
Hg: 0.0000 0.0000 0.0000
Hg: 0.5333 0.7500 0.5665
Hg: 0.4667 0.2500 0.4335
Hg: 0.5000 0.5000 0.0000

Results
**Magnetic moment**: 0.000 μB per cell
**Space-group type**: Cmce, No. 64
**Total energy**: -3.163 eV/atom

=====

[6]
Computed, not measured: crystalline HgRhSCl2 at its relaxed geometry at the PBE level of DFT.

abc: 5.1393 5.1393 5.0801
angles: 90.00 90.00 90.00
Fractional positions:
Rh: 0.5000 0.5000 0.5000
S: 0.0000 0.0000 0.5000
Cl: 0.5000 0.0000 0.0000
Cl: 0.0000 0.5000 0.0000
Hg: 0.0000 0.0000 0.0000

Results
**Magnetic moment**: 2.513 μB per cell
**Polymorph energy (0 for the lowest one)**: 844 meV/atom
**Space-group type**: P4/mmm, No. 123
**Total energy**: -2.302 eV/atom
**Energy relative to the elements, uncorrected**: 793 meV per atom

=====

[7]
Computed, not measured: crystalline LiV2B2 at its relaxed geometry at the PBE level of DFT.

abc: 5.6046 5.6046 3.0357
angles: 90.00 90.00 90.00
Fractional positions:
V: 0.1796 0.6796 0.5000
V: 0.8204 0.3204 0.5000
V: 0.6796 0.8204 0.5000
V: 0.3204 0.1796 0.5000
B: 0.1084 0.3916 0.0000
B: 0.8916 0.6084 0.0000
B: 0.3916 0.8916 0.0000
B: 0.6084 0.1084 0.0000
Li: 0.0000 0.0000 0.0000
Li: 0.5000 0.5000 0.0000

Results
**Magnetic moment**: 0.000 μB per cell
**Space-group type**: P4/mbm, No. 127
**Total energy**: -7.024 eV/atom

=====

[8]
Computed, not measured: crystalline ZnSb2Te2 at its relaxed geometry at the PBE level of DFT.

abc: 6.1644 6.1644 6.1644
angles: 120.33 120.33 89.43
Fractional positions:
Te: 0.2500 0.7500 0.5000
Te: 0.7500 0.2500 0.5000
Sb: 0.7003 0.7003 0.0000
Sb: 0.2997 0.2997 0.0000
Zn: 0.0000 0.0000 0.0000

Results
**Magnetic moment**: 0.000 μB per cell
**Polymorph energy (0 for the lowest one)**: 0 meV/atom
**Space-group type**: I4/mmm, No. 139
**Total energy**: -3.071 eV/atom
**Energy relative to the elements, uncorrected**: 89 meV per atom

=====

[9]
Computed, not measured: crystalline ErPtO2 at its relaxed geometry at the PBE level of DFT.

abc: 3.4222 3.4222 6.4487
angles: 74.61 74.61 60.00
Fractional positions:
Er: 0.5000 0.5000 0.5000
O: 0.1099 0.1099 0.6703
O: 0.8901 0.8901 0.3297
Pt: 0.0000 0.0000 0.0000

Results
**Magnetic moment**: 0.000 μB per cell
**Space-group type**: R-3m, No. 166
**Total energy**: -7.222 eV/atom
**Energy relative to the elements, uncorrected**: -2092 meV per atom

=====

[10]
Computed, not measured: crystalline Y3In3Rh2 at its relaxed geometry at the PBE level of DFT.

abc: 5.7127 7.5981 17.2649
angles: 90.00 90.00 90.00
Fractional positions:
In: 0.1651 0.1735 0.2500
In: 0.8925 0.8217 0.0301
In: 0.8925 0.8217 0.4699
In: 0.6075 0.3217 0.4699
In: 0.3925 0.6783 0.9699
In: 0.3349 0.6735 0.2500
In: 0.6651 0.3265 0.7500
In: 0.1075 0.1783 0.5301
In: 0.3925 0.6783 0.5301
In: 0.1075 0.1783 0.9699
In: 0.6075 0.3217 0.0301
In: 0.8349 0.8265 0.7500
Y: 0.1111 0.4628 0.1112
Y: 0.8889 0.5372 0.8888
Y: 0.3889 0.9628 0.1112
Y: 0.1629 0.1581 0.7500
Y: 0.6111 0.0372 0.6112
Y: 0.3889 0.9628 0.3888
Y: 0.1111 0.4628 0.3888
Y: 0.8889 0.5372 0.6112
Y: 0.3371 0.6581 0.7500
Y: 0.6629 0.3419 0.2500
Y: 0.8371 0.8419 0.2500
Y: 0.6111 0.0372 0.8888
Rh: 0.3856 0.3834 0.6219
Rh: 0.8856 0.1166 0.1219
Rh: 0.1144 0.8834 0.8781
Rh: 0.3856 0.3834 0.8781
Rh: 0.8856 0.1166 0.3781
Rh: 0.1144 0.8834 0.6219
Rh: 0.6144 0.6166 0.1219
Rh: 0.6144 0.6166 0.3781

Results
**Magnetic moment**: 0.000 μB per cell
**Space-group type**: Pnma, No. 62
**Total energy**: -5.912 eV/atom

=====

[11]
Computed, not measured: crystalline CsAg2SbW at its relaxed geometry at the PBE level of DFT.

abc: 5.6086 6.2323 5.6086
angles: 90.00 90.00 90.00
Fractional positions:
Ag: 0.5000 0.0000 0.0000
Ag: 0.0000 0.0000 0.5000
Cs: 0.0000 0.0000 0.0000
W: 0.5000 0.5000 0.5000
Sb: 0.0000 0.5000 0.0000

Results
**Magnetic moment**: 4.101 μB per cell
**Space-group type**: P4/mmm, No. 123
**Total energy**: -2.252 eV/atom
**Energy relative to the elements, uncorrected**: 2475 meV per atom

=====

[12]
Computed, not measured: crystalline CaAlRhCl2 at its relaxed geometry at the PBE level of DFT.

abc: 5.0554 4.6921 5.0554
angles: 90.00 90.00 90.00
Fractional positions:
Al: 0.0000 0.5000 0.0000
Cl: 0.0000 0.0000 0.5000
Cl: 0.5000 0.0000 0.0000
Ca: 0.5000 0.5000 0.5000
Rh: 0.0000 0.0000 0.0000

Results
**Magnetic moment**: 0.000 μB per cell
**Space-group type**: P4/mmm, No. 123
**Total energy**: -3.838 eV/atom
**Energy relative to the elements, uncorrected**: -480 meV per atom